# CrOs2Rh PBE optimized geometry
data_CrOs2Rh
_chemical_formula_sum 'Cr1 Os2 Rh1'
_symmetry_space_group_name_H-M 'P 1'
_symmetry_Int_Tables_number 1
_cell_length_a 3.125
_cell_length_b 3.125
_cell_length_c 5.715
_cell_angle_alpha 90.00
_cell_angle_beta 90.00
_cell_angle_gamma 90.00
loop_
_symmetry_equiv_pos_as_xyz
'x,y,z'
loop_
_atom_site_label
_atom_site_fract_x
_atom_site_fract_y
_atom_site_fract_z
Cr1 0.500 0.500 0.720
Os1 0.000 0.000 0.987
Os2 0.500 0.500 0.259
Rh1 0.000 0.000 0.534
# - DOS at the Fermi energy: 0.989 states/eV per atom
# - Distance to the lowest polymorph of the same formula: 364.3 meV per atom
# - Symmetry: P4mm, No. 99
# - Calculated formation energy: 0.400 eV per atom
# - Total DFT energy (no corrections): -9.458 eV/atom

=====

# MgBi2PdO PBE optimized geometry
data_MgBi2PdO
_chemical_formula_sum 'Mg1 Bi2 Pd1 O1'
_symmetry_space_group_name_H-M 'P 1'
_symmetry_Int_Tables_number 1
_cell_length_a 5.381
_cell_length_b 4.601
_cell_length_c 5.381
_cell_angle_alpha 90.00
_cell_angle_beta 90.00
_cell_angle_gamma 90.00
loop_
_symmetry_equiv_pos_as_xyz
'x,y,z'
loop_
_atom_site_label
_atom_site_fract_x
_atom_site_fract_y
_atom_site_fract_z
Pd1 0.000 0.500 0.000
Bi1 0.500 0.000 0.000
Mg1 0.000 0.000 0.000
Bi2 0.000 0.000 0.500
O1 0.500 0.500 0.500
# - DOS at the Fermi energy: 0.790 states/eV per atom
# - ΔE_f (raw): 866 meV per atom
# - Symmetry: P4/mmm, No. 123
# - Total DFT energy (no corrections): -3.035 eV/atom